Below is a relaxed BaLiAgAu2 crystal, with properties calculated at the GGA-PBE level.

```
BaLiAgAu2
1.0
-3.8849 -3.1232 -0.4951
3.0754 -3.9142 0.5593
-0.7214 0.1273 4.8572
Ag Au Ba Li
1 2 1 1
direct
0.0000 0.0000 0.5000
0.0000 0.5000 0.0000
0.5000 0.0000 0.0000
0.5000 0.5000 0.5000
0.0000 0.0000 0.0000
```

E_form   -0.365 eV/atom
Energy above the lowest structure with this stoichiometry   138 meV per atom
DOS at the Fermi energy   0.141 states/eV per atom
Magnetic moment   0.00 Bohr magnetons per cell
Final energy   -3.01 eV/atom